(1)
Compound: Ti3VMo
Source: Alexandria via LeMat-Bulk
Functional: PBE-GGA
Structure: relaxed

As for the density: 6.07 g cm⁻³. The calculation puts the offset from the most stable computed form at 50 meV/atom. The formation energy from the elements is 0.01 eV per atom.

It has space group C2/m (No. 12), with a = 9.345 Å, b = 4.492 Å, c = 7.895 Å, α = 90.00°, β = 106.52° and γ = 90.00°. The distinct sites, in fractional coordinates, are Ti at (0.150, 0.000, 0.057), Ti at (0.156, 0.500, 0.546), Ti at (0.236, 0.000, 0.758), V at (0.042, 0.500, 0.844) and Mo at (0.050, 0.000, 0.349).

---

(2)
Compound: NiIrOs
Source: Alexandria via LeMat-Bulk
Functional: PBE-GGA
Structure: relaxed

As for the density: 18.34 g cm⁻³. The calculation puts the offset from the most stable computed form at 0 meV/atom. The formation energy from the elements is 0.01 eV per atom.

It has space group Imm2 (No. 44), with a = 2.716 Å, b = 3.725 Å, c = 7.895 Å, α = 90.00°, β = 90.00° and γ = 90.00°. The distinct sites, in fractional coordinates, are Ni at (0.000, 0.000, 0.000), Ir at (0.000, 0.000, 0.670) and Os at (0.000, 0.000, 0.337).

---

(3)
Compound: Co3BiRh
Source: Alexandria via LeMat-Bulk
Functional: PBE-GGA
Structure: relaxed

As for the density: 8.43 g cm⁻³. The calculation puts the offset from the most stable computed form at 0 meV/atom. The formation energy from the elements is 1.06 eV per atom.

It has space group Pm-3m (No. 221), with a = 4.583 Å, b = 4.583 Å, c = 4.583 Å, α = 90.00°, β = 90.00° and γ = 90.00°. The distinct sites, in fractional coordinates, are Co at (0.000, 0.000, 0.500), Bi at (0.500, 0.500, 0.500) and Rh at (0.000, 0.000, 0.000).

---

(4)
Compound: TbCeSmY3
Source: Alexandria via LeMat-Bulk
Functional: PBE-GGA
Structure: relaxed

As for the density: 6.07 g cm⁻³. The formation energy from the elements is 0.15 eV per atom.

It has space group Cmcm (No. 63), with a = 5.887 Å, b = 11.290 Å, c = 11.795 Å, α = 90.00°, β = 90.00° and γ = 90.00°. The distinct sites, in fractional coordinates, are Tb at (0.000, 0.171, 0.250), Ce at (0.000, 0.500, 0.250), Sm at (0.000, 0.000, 0.000), Y at (0.000, 0.171, 0.750) and Y at (0.000, 0.330, 0.000).

---

(5)
Compound: SrSc2Ge
Source: Alexandria via LeMat-Bulk
Functional: PBE-GGA
Structure: relaxed

As for the density: 3.19 g cm⁻³. The formation energy from the elements is -0.07 eV per atom.

It has space group R-3m (No. 166, hexagonal axes), with a = 3.8578 Å, b = 3.8578 Å, c = 30.3376 Å, α = 90.00°, β = 90.00° and γ = 120.00°. The distinct sites, in fractional coordinates, are Sr at (0.0000, 0.0000, 0.0000), Sc at (0.0000, 0.0000, 0.1180) and Ge at (0.0000, 0.0000, 0.5000).

---

(6)
Compound: LiAgMo2
Source: Alexandria via LeMat-Bulk
Functional: PBE-GGA
Structure: relaxed

As for the density: 8.10 g cm⁻³. The calculation puts the offset from the most stable computed form at 219 meV/atom. The formation energy from the elements is 0.42 eV per atom.

It has space group Pmmm (No. 47), with a = 2.633 Å, b = 4.675 Å, c = 5.105 Å, α = 90.00°, β = 90.00° and γ = 90.00°. The distinct sites, in fractional coordinates, are Li at (0.000, 0.000, 0.000), Ag at (0.000, 0.000, 0.500) and Mo at (0.500, 0.500, 0.241).

---

(7)
Compound: HfGeIr
Source: Alexandria via LeMat-Bulk
Functional: PBE-GGA
Structure: relaxed

As for the density: 14.64 g cm⁻³. The formation energy from the elements is -0.82 eV per atom.

It has space group P2_1/m (No. 11), with a = 6.652 Å, b = 3.937 Å, c = 11.524 Å, α = 90.00°, β = 90.59° and γ = 90.00°. The distinct sites, in fractional coordinates, are Hf at (0.016, 0.250, 0.207), Hf at (0.333, 0.750, 0.578), Hf at (0.472, 0.750, 0.881), Ge at (0.237, 0.750, 0.084), Ge at (0.243, 0.250, 0.415), Ge at (0.277, 0.250, 0.751), Ir at (0.019, 0.250, 0.594), Ir at (0.150, 0.250, 0.956) and Ir at (0.355, 0.750, 0.295).

---

(8)
Compound: Mg3Mo5N12
Source: Alexandria via LeMat-Bulk
Functional: PBE-GGA
Structure: relaxed

As for the density: 4.85 g cm⁻³. The raw formation energy comes out at -0.15 eV per atom.

It has space group Ia-3d (No. 230), with a = 12.542 Å, b = 12.542 Å, c = 12.542 Å, α = 90.00°, β = 90.00° and γ = 90.00°. The distinct sites, in fractional coordinates, are Mg at (0.000, 0.250, 0.125), Mo at (0.000, 0.000, 0.000), Mo at (0.000, 0.250, 0.375) and N at (0.033, 0.056, 0.648).

---

(9)
Compound: K3Zr
Source: Alexandria via LeMat-Bulk
Functional: PBE-GGA
Structure: relaxed

As for the density: 1.85 g cm⁻³. The calculation puts the offset from the most stable computed form at 156 meV/atom. The formation energy from the elements is 0.72 eV per atom.

It has space group P4/mmm (No. 123), with a = 3.640 Å, b = 3.640 Å, c = 14.101 Å, α = 90.00°, β = 90.00° and γ = 90.00°. The distinct sites, in fractional coordinates, are K at (0.000, 0.000, 0.000), K at (0.500, 0.500, 0.289) and Zr at (0.000, 0.000, 0.500).

---

(10)
Compound: VCoCu2
Source: Alexandria via LeMat-Bulk
Functional: PBE-GGA
Structure: relaxed

As for the density: 7.45 g cm⁻³. The calculation puts the offset from the most stable computed form at 349 meV/atom. The formation energy from the elements is 0.60 eV per atom.

It has space group I-42d (No. 122), with a = 6.671 Å, b = 6.671 Å, c = 4.748 Å, α = 90.00°, β = 90.00° and γ = 90.00°. The distinct sites, in fractional coordinates, are V at (0.000, 0.000, 0.000), Co at (0.000, 0.000, 0.500) and Cu at (0.233, 0.250, 0.625).

---

(11)
Compound: BaCd4Ag
Source: Alexandria via LeMat-Bulk
Functional: PBE-GGA
Structure: relaxed

As for the density: 7.27 g cm⁻³. The calculation puts the offset from the most stable computed form at 79 meV/atom. The formation energy from the elements is -0.11 eV per atom.

It has space group F-43m (No. 216), with a = 8.595 Å, b = 8.595 Å, c = 8.595 Å, α = 90.00°, β = 90.00° and γ = 90.00°. The distinct sites, in fractional coordinates, are Ba at (0.000, 0.000, 0.000), Cd at (0.124, 0.124, 0.624) and Ag at (0.250, 0.250, 0.250).

---

(12)
Compound: Nd8HoTh4
Source: Alexandria via LeMat-Bulk
Functional: PBE-GGA
Structure: relaxed

As for the density: 7.54 g cm⁻³. The formation energy from the elements is 0.55 eV per atom.

It has space group R-3m (No. 166, hexagonal axes), with a = 11.4187 Å, b = 11.4187 Å, c = 13.1400 Å, α = 90.00°, β = 90.00° and γ = 120.00°. The distinct sites, in fractional coordinates, are Nd at (0.0000, 0.0000, 0.2369), Nd at (0.0069, 0.5034, 0.7336), Ho at (0.0000, 0.0000, 0.5000), Th at (0.0000, 0.0000, 0.0000) and Th at (0.0000, 0.5000, 0.0000).

---

(13)
Compound: Tl2InAu
Source: Alexandria via LeMat-Bulk
Functional: PBE-GGA
Structure: relaxed

As for the density: 11.32 g cm⁻³. The calculation puts the offset from the most stable computed form at 104 meV/atom. The formation energy from the elements is 0.06 eV per atom.

It has space group Cmmm (No. 65), with a = 6.205 Å, b = 9.932 Å, c = 3.431 Å, α = 90.00°, β = 90.00° and γ = 90.00°. The distinct sites, in fractional coordinates, are Tl at (0.250, 0.250, 0.000), In at (0.000, 0.000, 0.500) and Au at (0.000, 0.500, 0.500).

---

(14)
Compound: Zr5Pb
Source: Alexandria via LeMat-Bulk
Functional: PBE-GGA
Structure: relaxed

As for the density: 7.91 g cm⁻³. The formation energy from the elements is -0.10 eV per atom.

It has space group Cmmm (No. 65), with a = 4.432 Å, b = 14.288 Å, c = 4.398 Å, α = 90.00°, β = 90.00° and γ = 90.00°. The distinct sites, in fractional coordinates, are Zr at (0.000, 0.000, 0.000), Zr at (0.000, 0.169, 0.500), Zr at (0.000, 0.332, 0.000) and Pb at (0.000, 0.500, 0.500).

---

(15)
Compound: NbNiGe
Source: Alexandria via LeMat-Bulk
Functional: PBE-GGA
Structure: relaxed

As for the density: 8.51 g cm⁻³. The formation energy from the elements is -0.44 eV per atom.

It has space group Imm2 (No. 44), with a = 3.925 Å, b = 6.410 Å, c = 6.961 Å, α = 90.00°, β = 90.00° and γ = 90.00°. The distinct sites, in fractional coordinates, are Nb at (0.000, 0.000, 0.000), Nb at (0.000, 0.500, 0.081), Ni at (0.000, 0.307, 0.708) and Ge at (0.000, 0.224, 0.381).

---

(16)
Compound: Sc3SiGe2
Source: Alexandria via LeMat-Bulk
Functional: PBE-GGA
Structure: relaxed

As for the density: 4.44 g cm⁻³. The raw formation energy comes out at -0.70 eV per atom.

It has space group Pnma (No. 62), with a = 10.998 Å, b = 3.902 Å, c = 10.752 Å, α = 90.00°, β = 90.00° and γ = 90.00°. The distinct sites, in fractional coordinates, are Sc at (0.053, 0.250, 0.120), Sc at (0.118, 0.750, 0.555), Sc at (0.222, 0.250, 0.788), Si at (0.129, 0.250, 0.372), Ge at (0.006, 0.750, 0.300) and Ge at (0.188, 0.750, 0.003).

---

(17)
Compound: Co2TcPt
Source: Alexandria via LeMat-Bulk
Functional: PBE-GGA
Structure: relaxed

As for the density: 13.29 g cm⁻³. The calculation puts the offset from the most stable computed form at 11 meV/atom. The formation energy from the elements is 0.00 eV per atom.

It has space group I-4m2 (No. 119), with a = 3.669 Å, b = 3.669 Å, c = 7.626 Å, α = 90.00°, β = 90.00° and γ = 90.00°. The distinct sites, in fractional coordinates, are Co at (0.000, 0.000, 0.000), Co at (0.000, 0.500, 0.250), Tc at (0.000, 0.500, 0.750) and Pt at (0.000, 0.000, 0.500).

---

(18)
Compound: ZrHg2Cl
Source: Alexandria via LeMat-Bulk
Functional: PBE-GGA
Structure: relaxed

As for the density: 10.18 g cm⁻³. The calculation puts the offset from the most stable computed form at 498 meV/atom. The raw formation energy comes out at -0.04 eV per atom.

It has space group F-43m (No. 216), with a = 7.010 Å, b = 7.010 Å, c = 7.010 Å, α = 90.00°, β = 90.00° and γ = 90.00°. The distinct sites, in fractional coordinates, are Zr at (0.000, 0.000, 0.000), Hg at (0.000, 0.000, 0.500), Hg at (0.250, 0.250, 0.250) and Cl at (0.250, 0.250, 0.750).